The following is a PBE calculation of TmLuNiRu after structural relaxation, from the Alexandria database.

Output
Volume = 18.467 A^3/atom
Total DFT energy (no corrections) = -6.5085 eV/atom

Lattice parameters (Å, degrees): 4.7096 4.7096 4.7096 60.00 60.00 60.00
With the nearest neighbours (Å) after each atom.
Fractional coordinates of all 4 atoms:
Ru 0.2500 0.2500 0.2500  4 Tm 2.88, 4 Lu 2.88
Lu 0.0000 0.0000 0.0000  4 Ni 2.88, 4 Ru 2.88
Tm 0.5000 0.5000 0.5000  4 Ru 2.88, 4 Ni 2.88
Ni 0.7500 0.7500 0.7500  4 Tm 2.88, 4 Lu 2.88

***

The following is a PBE calculation of LuVNiRu after structural relaxation, from the Alexandria database.

Output
Volume = 15.614 A^3/atom
Total DFT energy (no corrections) = -7.3647 eV/atom

Lattice parameters (Å, degrees): 4.4535 4.4535 4.4535 60.00 60.00 60.00
With the nearest neighbours (Å) after each atom.
Fractional coordinates of all 4 atoms:
Ru 0.7500 0.7500 0.7500  4 Lu 2.73, 4 V 2.73
V 0.0000 0.0000 0.0000  4 Ni 2.73, 4 Ru 2.73
Lu 0.5000 0.5000 0.5000  4 Ru 2.73, 4 Ni 2.73
Ni 0.2500 0.2500 0.2500  4 V 2.73, 4 Lu 2.73

***

The following is a PBE calculation of LuZnNiRu after structural relaxation, from the Alexandria database.

Output
Volume = 15.531 A^3/atom
Total DFT energy (no corrections) = -5.4698 eV/atom

Lattice parameters (Å, degrees): 4.4455 4.4455 4.4455 60.00 60.00 60.00
With the nearest neighbours (Å) after each atom.
Fractional coordinates of all 4 atoms:
Ru 0.5000 0.5000 0.5000  4 Zn 2.72, 4 Lu 2.72
Zn 0.7500 0.7500 0.7500  4 Ni 2.72, 4 Ru 2.72
Lu 0.2500 0.2500 0.2500  4 Ru 2.72, 4 Ni 2.72
Ni 0.0000 0.0000 0.0000  4 Lu 2.72, 4 Zn 2.72

***

The following is a PBE calculation of Lu5Ni2Sb after structural relaxation, from the Alexandria database.

Output
Volume = 22.879 A^3/atom
Uncorrected formation energy = -436.6 kJ/mol of formula units

Lattice parameters (Å, degrees): 8.4428 8.4428 8.4428 127.65 127.65 77.19
With the nearest neighbours (Å) after each atom.
Fractional coordinates of all 16 atoms:
Lu 0.0000 0.0000 0.0000  4 Ni 2.91
Lu 0.5000 0.5000 0.0000  4 Ni 2.91
Lu 0.7935 0.2935 0.8141  3 Ni 2.81-2.86
Lu 0.2065 0.7065 0.1859  3 Ni 2.81-2.86
Lu 0.4795 0.9795 0.1859  3 Ni 2.81-2.86
Lu 0.2935 0.4795 0.5000  3 Ni 2.81-2.86
Lu 0.0205 0.2065 0.5000  3 Ni 2.81-2.86
Lu 0.5205 0.0205 0.8141  3 Ni 2.81-2.86
Lu 0.7065 0.5205 0.5000  3 Ni 2.81-2.86
Lu 0.9795 0.7935 0.5000  3 Ni 2.81-2.86
Ni 0.1317 0.6317 0.7634  1 Ni 2.77, 8 Lu 2.81-2.91
Ni 0.8683 0.3683 0.2366  1 Ni 2.77, 8 Lu 2.81-2.91
Ni 0.6317 0.8683 0.5000  1 Ni 2.77, 8 Lu 2.81-2.91
Ni 0.3683 0.1317 0.5000  1 Ni 2.77, 8 Lu 2.81-2.91
Sb 0.2500 0.2500 0.0000  10 Lu 3.18-3.30
Sb 0.7500 0.7500 0.0000  10 Lu 3.18-3.30

***

- volume of number 1 (TmLuNiRu)?
  18.467 A^3/atom

***

Copy entry 4 word for word.
The following is a PBE calculation of Lu5Ni2Sb after structural relaxation, from the Alexandria database.

Output
Volume = 22.879 A^3/atom
Uncorrected formation energy = -436.6 kJ/mol of formula units

Lattice parameters (Å, degrees): 8.4428 8.4428 8.4428 127.65 127.65 77.19
With the nearest neighbours (Å) after each atom.
Fractional coordinates of all 16 atoms:
Lu 0.0000 0.0000 0.0000  4 Ni 2.91
Lu 0.5000 0.5000 0.0000  4 Ni 2.91
Lu 0.7935 0.2935 0.8141  3 Ni 2.81-2.86
Lu 0.2065 0.7065 0.1859  3 Ni 2.81-2.86
Lu 0.4795 0.9795 0.1859  3 Ni 2.81-2.86
Lu 0.2935 0.4795 0.5000  3 Ni 2.81-2.86
Lu 0.0205 0.2065 0.5000  3 Ni 2.81-2.86
Lu 0.5205 0.0205 0.8141  3 Ni 2.81-2.86
Lu 0.7065 0.5205 0.5000  3 Ni 2.81-2.86
Lu 0.9795 0.7935 0.5000  3 Ni 2.81-2.86
Ni 0.1317 0.6317 0.7634  1 Ni 2.77, 8 Lu 2.81-2.91
Ni 0.8683 0.3683 0.2366  1 Ni 2.77, 8 Lu 2.81-2.91
Ni 0.6317 0.8683 0.5000  1 Ni 2.77, 8 Lu 2.81-2.91
Ni 0.3683 0.1317 0.5000  1 Ni 2.77, 8 Lu 2.81-2.91
Sb 0.2500 0.2500 0.0000  10 Lu 3.18-3.30
Sb 0.7500 0.7500 0.0000  10 Lu 3.18-3.30